Compound: NbBiSb
Source: Alexandria
Functional: GGA-PBE
Structure: relaxed

Unit cell a=13.534 b=6.860 c=10.274 alpha=90.00 beta=109.49 gamma=90.00
Space group Cc (No. 9)
One atom of each set of equivalent atoms:
1 Nb 0.000 0.015 0.000
2 Nb 0.347 0.474 0.679
3 Nb 0.424 0.044 0.095
4 Bi 0.124 0.364 0.114
5 Bi 0.218 0.137 0.567
6 Bi 0.340 0.181 0.337
7 Sb 0.052 0.160 0.766
8 Sb 0.291 0.335 0.917
9 Sb 0.493 0.174 0.848

Results
calculated density: 9.39 g cm⁻³
total DFT energy (no corrections): -6.0108 eV/atom
spin magnetization: 0.00 μB/cell
formation energy without anion corrections: 13.5 meV/atom

Compound: NbBiSb3
Source: Alexandria
Functional: GGA-PBE
Structure: relaxed

Unit cell a=5.383 b=5.383 c=5.383 alpha=90.00 beta=90.00 gamma=90.00
Space group Pm-3m (No. 221)
One atom of each set of equivalent atoms:
1 Nb 0.000 0.000 0.000
2 Bi 0.500 0.500 0.500
3 Sb 0.000 0.000 0.500

Results
calculated density: 7.10 g cm⁻³
total DFT energy (no corrections): -4.8416 eV/atom
spin magnetization: 0.00 μB/cell
formation energy without anion corrections: 421.9 meV/atom
E above lowest polymorph: 0 meV/atom

Compound: NbBi2Sb
Source: Alexandria
Functional: GGA-PBE
Structure: relaxed

Unit cell a=6.726 b=6.726 c=13.817 alpha=90.00 beta=90.00 gamma=90.00
Space group I-42d (No. 122)
One atom of each set of equivalent atoms:
1 Nb 0.000 0.000 0.000
2 Bi 0.218 0.250 0.125
3 Sb 0.000 0.000 0.500

Results
calculated density: 6.72 g cm⁻³
total DFT energy (no corrections): -4.7763 eV/atom
spin magnetization: 7.88 μB/cell
formation energy without anion corrections: 712.3 meV/atom

Compound: NbBi3Sb
Source: Alexandria
Functional: GGA-PBE
Structure: relaxed

Unit cell a=5.695 b=5.695 c=5.695 alpha=90.00 beta=90.00 gamma=90.00
Space group Pm-3m (No. 221)
One atom of each set of equivalent atoms:
1 Nb 0.000 0.000 0.000
2 Bi 0.000 0.500 0.500
3 Sb 0.500 0.500 0.500

Results
calculated density: 7.57 g cm⁻³
total DFT energy (no corrections): -3.6600 eV/atom
spin magnetization: 0.06 μB/cell
formation energy without anion corrections: 1507.0 meV/atom
E above lowest polymorph: 951 meV/atom

Compound: Nb2Bi2Sb
Source: Alexandria
Functional: GGA-PBE
Structure: relaxed

Unit cell a=7.840 b=7.840 c=3.824 alpha=90.00 beta=90.00 gamma=90.00
Space group P4/mbm (No. 127)
One atom of each set of equivalent atoms:
1 Nb 0.148 0.352 0.000
2 Bi 0.148 0.648 0.500
3 Sb 0.000 0.000 0.000

Results
calculated density: 10.25 g cm⁻³
total DFT energy (no corrections): -6.1914 eV/atom
spin magnetization: 0.00 μB/cell
formation energy without anion corrections: 213.4 meV/atom

Compound: TaNbBiSb2
Source: Alexandria
Functional: GGA-PBE
Structure: relaxed

Unit cell a=5.322 b=5.322 c=5.466 alpha=90.00 beta=90.00 gamma=90.00
Space group P4/mmm (No. 123)
One atom of each set of equivalent atoms:
1 Ta 0.000 0.000 0.000
2 Nb 0.500 0.500 0.500
3 Bi 0.000 0.000 0.500
4 Sb 0.000 0.500 0.000

Results
calculated density: 7.79 g cm⁻³
total DFT energy (no corrections): -5.7087 eV/atom
spin magnetization: 3.41 μB/cell
formation energy without anion corrections: 1100.9 meV/atom

Compound: NbBiSb2Te
Source: Alexandria
Functional: GGA-PBE
Structure: relaxed

Unit cell a=5.456 b=5.456 c=5.292 alpha=90.00 beta=90.00 gamma=90.00
Space group P4/mmm (No. 123)
One atom of each set of equivalent atoms:
1 Nb 0.000 0.000 0.000
2 Bi 0.500 0.500 0.500
3 Sb 0.000 0.500 0.000
4 Te 0.000 0.000 0.500

Results
calculated density: 7.09 g cm⁻³
total DFT energy (no corrections): -4.6829 eV/atom
spin magnetization: 0.59 μB/cell
formation energy without anion corrections: 384.6 meV/atom
E above lowest polymorph: 0 meV/atom

Compound: ScNb3Bi
Source: Alexandria
Functional: GGA-PBE
Structure: relaxed

Unit cell a=4.846 b=4.846 c=4.846 alpha=90.00 beta=90.00 gamma=90.00
Space group Pm-3m (No. 221)
One atom of each set of equivalent atoms:
1 Sc 0.000 0.000 0.000
2 Nb 0.000 0.000 0.500
3 Bi 0.500 0.500 0.500

Results
calculated density: 7.77 g cm⁻³
total DFT energy (no corrections): -6.6915 eV/atom
ΔH_f (0 K): 1.39 eV/atom
spin magnetization: 0.00 μB/cell
E above lowest polymorph: 0 meV/atom

Compound: Sc3NbBi
Source: Alexandria
Functional: GGA-PBE
Structure: relaxed

Unit cell a=5.128 b=5.128 c=5.128 alpha=90.00 beta=90.00 gamma=90.00
Space group Pm-3m (No. 221)
One atom of each set of equivalent atoms:
1 Sc 0.000 0.000 0.500
2 Nb 0.000 0.000 0.000
3 Bi 0.500 0.500 0.500

Results
calculated density: 5.38 g cm⁻³
total DFT energy (no corrections): -6.1786 eV/atom
ΔH_f (0 K): 0.41 eV/atom
spin magnetization: 0.00 μB/cell
E above lowest polymorph: 0 meV/atom

Compound: ScNb2Bi
Source: Alexandria
Functional: GGA-PBE
Structure: relaxed

Unit cell a=7.923 b=7.923 c=5.807 alpha=90.00 beta=90.00 gamma=90.00
Space group I-42d (No. 122)
One atom of each set of equivalent atoms:
1 Sc 0.000 0.000 0.000
2 Nb 0.237 0.750 0.625
3 Bi 0.000 0.000 0.500

Results
calculated density: 8.01 g cm⁻³
total DFT energy (no corrections): -6.9476 eV/atom
ΔH_f (0 K): 0.64 eV/atom
spin magnetization: 0.00 μB/cell

Compound: Sc2Nb2Bi
Source: Alexandria
Functional: GGA-PBE
Structure: relaxed

Unit cell a=7.385 b=7.385 c=4.129 alpha=90.00 beta=90.00 gamma=90.00
Space group P4/mbm (No. 127)
One atom of each set of equivalent atoms:
1 Sc 0.168 0.332 0.000
2 Nb 0.124 0.624 0.500
3 Bi 0.000 0.000 0.500

Results
calculated density: 7.15 g cm⁻³
total DFT energy (no corrections): -7.2676 eV/atom
ΔH_f (0 K): 0.07 eV/atom
spin magnetization: 0.00 μB/cell

Compound: Sc3NbBi
Source: Alexandria
Functional: GGA-PBE
Structure: relaxed

Unit cell a=5.367 b=5.367 c=5.367 alpha=90.00 beta=90.00 gamma=90.00
Space group Pm-3m (No. 221)
One atom of each set of equivalent atoms:
1 Sc 0.000 0.000 0.500
2 Nb 0.500 0.500 0.500
3 Bi 0.000 0.000 0.000

Results
calculated density: 4.69 g cm⁻³
total DFT energy (no corrections): -5.6539 eV/atom
ΔH_f (0 K): 0.94 eV/atom
spin magnetization: 2.79 μB/cell
E above lowest polymorph: 525 meV/atom